## Tb2AgHg (PBE)

Data for crystalline Tb2AgHg at its relaxed geometry.

Unit cell a=3.6827 b=5.2369 c=10.4477 alpha=90.00 beta=90.00 gamma=90.00
Closest atoms and distances in Å follow each position.
Fractional positions:
Hg (0.5000, 0.2500, 0.3736)  8 Tb 3.20-3.24
Tb (0.0000, 0.7500, 0.8787)  6 Ag 3.16-3.20, 2 Hg 3.22
Tb (0.0000, 0.2500, 0.1213)  6 Ag 3.16-3.20, 2 Hg 3.22
Tb (0.0000, 0.2500, 0.6291)  2 Ag 3.16, 6 Hg 3.20-3.24
Hg (0.5000, 0.7500, 0.6264)  8 Tb 3.20-3.24
Tb (0.0000, 0.7500, 0.3709)  2 Ag 3.16, 6 Hg 3.20-3.24
Ag (0.5000, 0.7500, 0.1246)  8 Tb 3.16-3.20
Ag (0.5000, 0.2500, 0.8754)  8 Tb 3.16-3.20

Spin magnetization, μB/f.u.: 0.0
Raw total energy, eV/f.u.: -14.01
Space group: Pmma (51)

---

## Tb3Ag2Hg3 (PBE)

Data for crystalline Tb3Ag2Hg3 at its relaxed geometry.

Unit cell a=3.8702 b=7.6679 c=7.6679 alpha=120.00 beta=90.00 gamma=90.00
Closest atoms and distances in Å follow each position.
Fractional positions:
Hg (0.0000, 0.0000, 0.2391)  2 Ag 2.98, 2 Hg 3.18, 4 Tb 3.29
Hg (0.0000, 0.7609, 0.7609)  2 Ag 2.98, 2 Hg 3.18, 4 Tb 3.29
Ag (0.0000, 0.3333, 0.6667)  3 Hg 2.98, 6 Tb 3.04
Tb (0.5000, 0.0000, 0.6028)  4 Ag 3.04, 6 Hg 3.29-3.39
Tb (0.5000, 0.3972, 0.3972)  4 Ag 3.04, 6 Hg 3.29-3.39
Ag (0.0000, 0.6667, 0.3333)  3 Hg 2.98, 6 Tb 3.04
Tb (0.5000, 0.6028, 0.0000)  4 Ag 3.04, 6 Hg 3.29-3.39
Hg (0.0000, 0.2391, 0.0000)  2 Ag 2.98, 2 Hg 3.18, 4 Tb 3.29

Spin magnetization, μB/f.u.: 0.0
Raw total energy, eV/f.u.: -23.28
Space group: P-62m (189)

---

## Tb5Ag2Hg (PBE)

Data for crystalline Tb5Ag2Hg at its relaxed geometry.

Unit cell a=8.1401 b=8.1401 c=8.6944 alpha=117.91 beta=117.91 gamma=90.00
Closest atoms and distances in Å follow each position.
Fractional positions:
Tb (0.5061, 0.6947, 0.7008)  3 Ag 3.06-3.12, 2 Hg 3.34, 1 Tb 3.40
Ag (0.3671, 0.8671, 0.0000)  8 Tb 3.06-3.18, 1 Ag 3.06
Tb (0.4939, 0.3053, 0.2992)  3 Ag 3.06-3.12, 2 Hg 3.34, 1 Tb 3.40
Tb (0.0000, 0.0000, 0.0000)  4 Ag 3.18, 2 Hg 3.26
Hg (0.7500, 0.7500, 0.5000)  10 Tb 3.26-3.34
Ag (0.6329, 0.1329, 0.0000)  8 Tb 3.06-3.18, 1 Ag 3.06
Ag (0.1329, 0.3671, 0.0000)  8 Tb 3.06-3.18, 1 Ag 3.06
Tb (0.9939, 0.4939, 0.2992)  3 Ag 3.06-3.12, 2 Hg 3.34, 1 Tb 3.40
Tb (0.1947, 0.0061, 0.7008)  3 Ag 3.06-3.12, 2 Hg 3.34, 1 Tb 3.40
Tb (0.6947, 0.1947, 0.7008)  3 Ag 3.06-3.12, 2 Hg 3.34, 1 Tb 3.40
Tb (0.0061, 0.5061, 0.7008)  3 Ag 3.06-3.12, 2 Hg 3.34, 1 Tb 3.40
Tb (0.5000, 0.5000, 0.0000)  4 Ag 3.18, 2 Hg 3.26
Tb (0.8053, 0.9939, 0.2992)  3 Ag 3.06-3.12, 2 Hg 3.34, 1 Tb 3.40
Tb (0.3053, 0.8053, 0.2992)  3 Ag 3.06-3.12, 2 Hg 3.34, 1 Tb 3.40
Ag (0.8671, 0.6329, 0.0000)  8 Tb 3.06-3.18, 1 Ag 3.06
Hg (0.2500, 0.2500, 0.5000)  10 Tb 3.26-3.34

Spin magnetization, μB/f.u.: 0.0
Raw total energy, eV/f.u.: -31.02
Space group: I4/mcm (140)

---

## Tb4AgHg5 (PBE)

Data for crystalline Tb4AgHg5 at its relaxed geometry.

Unit cell a=3.7032 b=3.7032 c=18.1162 alpha=90.00 beta=90.00 gamma=90.00
Closest atoms and distances in Å follow each position.
Fractional positions:
Hg (0.5000, 0.5000, 0.2940)  8 Tb 3.20-3.26
Hg (0.5000, 0.5000, 0.5000)  8 Tb 3.23
Tb (0.0000, 0.0000, 0.1872)  8 Hg 3.17-3.26, 1 Ag 3.39
Hg (0.5000, 0.5000, 0.0883)  4 Ag 3.07, 4 Tb 3.17, 1 Hg 3.20
Tb (0.0000, 0.0000, 0.3953)  8 Hg 3.20-3.23
Hg (0.5000, 0.5000, 0.7060)  8 Tb 3.20-3.26
Ag (0.0000, 0.0000, 0.0000)  8 Hg 3.07, 2 Tb 3.39
Tb (0.0000, 0.0000, 0.8128)  8 Hg 3.17-3.26, 1 Ag 3.39
Hg (0.5000, 0.5000, 0.9117)  4 Ag 3.07, 4 Tb 3.17, 1 Hg 3.20
Tb (0.0000, 0.0000, 0.6047)  8 Hg 3.20-3.23

Spin magnetization, μB/f.u.: 0.2
Raw total energy, eV/f.u.: -26.76
Space group: P4/mmm (123)